Record 1
Density functional theory data (PBE) for RbNa2TiCd after structural relaxation.

Results
crystal system	tetragonal
density of states at the Fermi level	2.537	states/eV per atom
formation energy	0.9989	eV per atom

Cell lengths 5.8513, 5.8513, 6.5465 Å; angles 90.00, 90.00, 90.00 degrees
Space group P4/mmm (No. 123)
One atom of each set of equivalent atoms:
Rb: 0.0000 0.0000 0.0000
Na: 0.0000 0.5000 0.5000
Ti: 0.5000 0.5000 0.0000
Cd: 0.0000 0.0000 0.5000

---

Record 2
Density functional theory data (PBE) for ZrAlNi after structural relaxation.

Results
crystal system	hexagonal
density of states at the Fermi level	0.605	states/eV per atom
formation energy	-0.1101	eV per atom

Cell lengths 7.8581, 7.8581, 2.7863 Å; angles 90.00, 90.00, 120.00 degrees
Space group P-62m (No. 189)
One atom of each set of equivalent atoms:
Zr: 0.0000 0.0000 0.0000
Zr: 0.3333 0.6667 0.5000
Al: 0.0000 0.6398 0.0000
Ni: 0.0000 0.3102 0.5000

---

Record 3
Density functional theory data (PBE) for Zr2ScPd2 after structural relaxation.

Results
crystal system	tetragonal
distance to the lowest polymorph of the same formula	0.000	eV/atom
density of states at the Fermi level	1.082	states/eV per atom
formation energy	-0.5536	eV per atom

Cell lengths 7.7016, 7.7016, 3.3881 Å; angles 90.00, 90.00, 90.00 degrees
Space group P4/mbm (No. 127)
One atom of each set of equivalent atoms:
Zr: 0.1711 0.3289 0.0000
Sc: 0.0000 0.0000 0.5000
Pd: 0.1279 0.6279 0.5000

---

Record 4
Density functional theory data (PBE) for TlAs2PtSe after structural relaxation.

Results
crystal system	tetragonal
distance to the lowest polymorph of the same formula	0.000	eV/atom
density of states at the Fermi level	1.029	states/eV per atom

Cell lengths 4.8770, 4.8770, 5.5283 Å; angles 90.00, 90.00, 90.00 degrees
Space group P4/mmm (No. 123)
One atom of each set of equivalent atoms:
Tl: 0.0000 0.0000 0.0000
As: 0.0000 0.5000 0.5000
Pt: 0.5000 0.5000 0.5000
Se: 0.5000 0.5000 0.0000

---

Record 5
Density functional theory data (PBE) for NpP2Os after structural relaxation.

Results
crystal system	tetragonal
distance to the lowest polymorph of the same formula	0.083	eV/atom
density of states at the Fermi level	2.382	states/eV per atom
formation energy	-0.5322	eV per atom

Cell lengths 3.9516, 3.9516, 18.0951 Å; angles 90.00, 90.00, 90.00 degrees
Space group I4/mmm (No. 139)
One atom of each set of equivalent atoms:
Np: 0.0000 0.0000 0.1080
P: 0.0000 0.0000 0.3223
P: 0.0000 0.5000 0.0000
Os: 0.0000 0.5000 0.2500

---

Record 6
Density functional theory data (PBE) for Cs5Sb2Te4 after structural relaxation.

Results
crystal system	orthorhombic
VASP energy	-59.3	eV for the cell shown
density of states at the Fermi level	0.664	states/eV per atom

Cell lengths 6.2927, 7.7547, 25.5357 Å; angles 90.00, 90.00, 90.00 degrees
Space group Immm (No. 71)
One atom of each set of equivalent atoms:
Cs: 0.0000 0.0000 0.0000
Cs: 0.0000 0.2465 0.3503
Sb: 0.0000 0.5000 0.2236
Te: 0.0000 0.1800 0.5000
Te: 0.0000 0.5000 0.1166

---

Record 7
Density functional theory data (PBE) for RbTeAu after structural relaxation.

Results
crystal system	monoclinic
VASP energy	-18.9	eV for the cell shown
density of states at the Fermi level	0.000	states/eV per atom

Cell lengths 5.4242, 7.9817, 5.7270 Å; angles 90.00, 92.59, 90.00 degrees
Space group P2_1/m (No. 11)
One atom of each set of equivalent atoms:
Rb: 0.0210 0.2500 0.2484
Te: 0.4611 0.7500 0.2919
Au: 0.5000 0.0000 0.0000

---

Record 8
Density functional theory data (PBE) for TbPaCd2O6 after structural relaxation.

Results
crystal system	trigonal
VASP energy	-214.0	eV for the cell shown
density of states at the Fermi level	0.000	states/eV per atom

Cell lengths 5.8037, 5.8037, 15.4762 Å; angles 90.00, 90.00, 120.00 degrees
Space group R3 (No. 146, hexagonal axes)
One atom of each set of equivalent atoms:
Tb: 0.0000 0.0000 0.0000
Pa: 0.0000 0.0000 0.4965
Cd: 0.0000 0.0000 0.2796
Cd: 0.0000 0.0000 0.7830
O: 0.0426 0.3458 0.5681
O: 0.0513 0.6875 0.0715

---

Record 9
Density functional theory data (PBE) for LiPbSe2 after structural relaxation.

Results
crystal system	tetragonal
VASP energy	-14.5	eV for the cell shown
density of states at the Fermi level	0.119	states/eV per atom

Cell lengths 3.9339, 3.9339, 6.0492 Å; angles 90.00, 90.00, 90.00 degrees
Space group P4/mmm (No. 123)
One atom of each set of equivalent atoms:
Li: 0.0000 0.0000 0.0000
Pb: 0.0000 0.0000 0.5000
Se: 0.5000 0.5000 0.2358

---

Record 10
Density functional theory data (PBE) for BeCr2Mo after structural relaxation.

Results
crystal system	orthorhombic
density of states at the Fermi level	0.476	states/eV per atom
formation energy	0.1272	eV per atom

Cell lengths 3.0364, 4.0928, 7.7951 Å; angles 90.00, 90.00, 90.00 degrees
Space group Cmm2 (No. 35)
One atom of each set of equivalent atoms:
Be: 0.0000 0.0000 0.0000
Cr: 0.0000 0.0000 0.4712
Cr: 0.0000 0.5000 0.2262
Mo: 0.0000 0.5000 0.7484

---

Record 11
Density functional theory data (PBE) for LiTb2BePt6 after structural relaxation.

Results
crystal system	triclinic
density of states at the Fermi level	0.199	states/eV per atom
formation energy	-0.7393	eV per atom

Cell lengths 5.9145, 5.9334, 5.9718 Å; angles 67.32, 67.20, 66.64 degrees
Space group P-1 (No. 2)
One atom of each set of equivalent atoms:
Li: 0.0000 0.0000 0.0000
Tb: 0.2412 0.2418 0.2369
Be: 0.5000 0.5000 0.5000
Pt: 0.2524 0.7276 0.2565
Pt: 0.2552 0.2543 0.7256
Pt: 0.2728 0.7464 0.7445

---

Record 12
Density functional theory data (PBE) for La6YEr2 after structural relaxation.

Results
crystal system	orthorhombic
density of states at the Fermi level	1.499	states/eV per atom
formation energy	0.1161	eV per atom

Cell lengths 9.4811, 17.8619, 3.7025 Å; angles 90.00, 90.00, 90.00 degrees
Space group Cmmm (No. 65)
One atom of each set of equivalent atoms:
La: 0.1723 0.1661 0.0000
La: 0.1758 0.0000 0.5000
Y: 0.0000 0.5000 0.0000
Er: 0.0000 0.3270 0.5000

---

Record 13
Density functional theory data (PBE) for ZrAl2Cu after structural relaxation.

Results
crystal system	tetragonal
density of states at the Fermi level	0.488	states/eV per atom
formation energy	-0.4215	eV per atom

Cell lengths 4.0679, 4.0679, 3.9921 Å; angles 90.00, 90.00, 90.00 degrees
Space group P4/mmm (No. 123)
One atom of each set of equivalent atoms:
Zr: 0.0000 0.0000 0.0000
Al: 0.0000 0.5000 0.5000
Cu: 0.5000 0.5000 0.0000

---

Record 14
Density functional theory data (PBE) for NbFeGe after structural relaxation.

Results
crystal system	monoclinic
density of states at the Fermi level	0.889	states/eV per atom
formation energy	-0.2396	eV per atom

Cell lengths 9.3369, 3.8760, 6.2908 Å; angles 90.00, 128.56, 90.00 degrees
Space group C2/m (No. 12)
One atom of each set of equivalent atoms:
Nb: 0.0581 0.0000 0.3096
Fe: 0.1498 0.5000 0.0782
Ge: 0.1682 0.5000 0.7137

---

Record 15
Density functional theory data (PBE) for ZrIn2BI after structural relaxation.

Results
crystal system	tetragonal
VASP energy	-15.9	eV for the cell shown
density of states at the Fermi level	0.907	states/eV per atom

Cell lengths 5.7471, 5.7471, 5.5052 Å; angles 90.00, 90.00, 90.00 degrees
Space group P4/mmm (No. 123)
One atom of each set of equivalent atoms:
Zr: 0.0000 0.0000 0.0000
In: 0.0000 0.5000 0.0000
B: 0.5000 0.5000 0.5000
I: 0.0000 0.0000 0.5000

---

Record 16
Density functional theory data (PBE) for Ce6Tl3Ir after structural relaxation.

Results
crystal system	monoclinic
density of states at the Fermi level	2.713	states/eV per atom
formation energy	-0.2388	eV per atom

Cell lengths 5.5975, 8.9245, 12.0097 Å; angles 90.00, 113.32, 90.00 degrees
Space group P2_1/c (No. 14)
One atom of each set of equivalent atoms:
Ce: 0.0308 0.1376 0.0590
Ce: 0.4300 0.5589 0.2675
Ce: 0.4317 0.1838 0.4204
Tl: 0.0000 0.0000 0.5000
Tl: 0.1141 0.6324 0.7636
Ir: 0.5000 0.0000 0.0000

---

Record 17
Density functional theory data (PBE) for RbLaPd3 after structural relaxation.

Results
crystal system	cubic
distance to the lowest polymorph of the same formula	0.000	eV/atom
density of states at the Fermi level	0.987	states/eV per atom
formation energy	0.2359	eV per atom

Cell lengths 5.4394, 5.4394, 5.4394 Å; angles 90.00, 90.00, 90.00 degrees
Space group Pm-3m (No. 221)
One atom of each set of equivalent atoms:
Rb: 0.0000 0.0000 0.0000
La: 0.5000 0.5000 0.5000
Pd: 0.0000 0.5000 0.5000

---

Record 18
Density functional theory data (PBE) for CrTcRh after structural relaxation.

Results
crystal system	orthorhombic
distance to the lowest polymorph of the same formula	0.023	eV/atom
density of states at the Fermi level	1.340	states/eV per atom
formation energy	0.0639	eV per atom

Cell lengths 2.6444, 3.7878, 8.1274 Å; angles 90.00, 90.00, 90.00 degrees
Space group Imm2 (No. 44)
One atom of each set of equivalent atoms:
Cr: 0.0000 0.0000 0.0000
Tc: 0.0000 0.0000 0.6607
Rh: 0.0000 0.0000 0.3354

---

Record 19
Density functional theory data (PBE) for K4PrEr3Se8 after structural relaxation.

Results
crystal system	trigonal
VASP energy	-236.2	eV for the cell shown
density of states at the Fermi level	0.000	states/eV per atom

Cell lengths 8.4653, 8.4653, 23.0618 Å; angles 90.00, 90.00, 120.00 degrees
Space group R-3m (No. 166, hexagonal axes)
One atom of each set of equivalent atoms:
K: 0.0000 0.0000 0.0000
K: 0.0000 0.5000 0.0000
Pr: 0.0000 0.0000 0.5000
Er: 0.0000 0.5000 0.5000
Se: 0.0000 0.0000 0.2341
Se: 0.0104 0.5052 0.7645

---

Record 20
Density functional theory data (PBE) for Ac2VHg after structural relaxation.

Results
crystal system	trigonal
density of states at the Fermi level	1.230	states/eV per atom
formation energy	0.6282	eV per atom

Cell lengths 3.7002, 3.7002, 34.4890 Å; angles 90.00, 90.00, 120.00 degrees
Space group R-3m (No. 166, hexagonal axes)
One atom of each set of equivalent atoms:
Ac: 0.0000 0.0000 0.0885
V: 0.0000 0.0000 0.0000
Hg: 0.0000 0.0000 0.5000